Below is BeNiTe after structural relaxation, with properties calculated at the PBE level.

a b c (Å): 6.6923 3.8858 7.7259
angles (deg): 90.00 90.00 90.00
Space group Pnma (No. 62)
Inequivalent atoms, fractional coordinates:
Be 0.0753 0.2500 0.0302 x4
Ni 0.2420 0.7500 0.0388 x4
Te 0.1161 0.7500 0.3434 x4

As for the total magnetization: 0.000 μB per atom. The value obtained for the energy relative to the elements, uncorrected is -0.07 eV/atom.

Below is Ac3Ho2Pb4 after structural relaxation, with properties calculated at the PBE level.

a b c (Å): 14.1121 4.8731 10.3164
angles (deg): 90.00 115.17 90.00
Space group C2/m (No. 12)
Inequivalent atoms, fractional coordinates:
Ac 0.0000 0.0000 0.0000 x2
Ac 0.1219 0.5000 0.7002 x4
Ho 0.1841 0.5000 0.3552 x4
Pb 0.0752 0.0000 0.4088 x4
Pb 0.2032 0.5000 0.0670 x4

As for the total magnetization: 0.000 μB per atom. The formation energy is -455 meV/atom.

Below is CuPt3 after structural relaxation, with properties calculated at the PBE level.

a b c (Å): 2.7390 2.7390 9.2247
angles (deg): 90.00 90.00 120.00
Space group P-6m2 (No. 187)
Inequivalent atoms, fractional coordinates:
Cu 0.0000 0.0000 0.0000 x1
Pt 0.0000 0.0000 0.5000 x1
Pt 0.3333 0.6667 0.2347 x2

As for the total magnetization: 0.000 μB per atom. The formation energy is -56 meV/atom.